! LaMgMnFeO6 (GGA+U, relaxed); values from VASP
&SYSTEM
  ibrav = 0, nat = 20, ntyp = 5
/
ATOMIC_SPECIES
La 138.91 La.upf
Mg 24.30 Mg.upf
Mn 54.94 Mn.upf
Fe 55.84 Fe.upf
O 16.00 O.upf
CELL_PARAMETERS angstrom
5.2771 0.0000 0.0000
0.0000 5.4215 0.0000
-5.2749 0.0000 7.5935
ATOMIC_POSITIONS angstrom
La 0.0000 1.1724 0.0000
La -2.6375 4.2491 3.7967
Mg 0.1976 1.6828 3.7889
Mg -2.4398 3.7387 7.5856
Mn 2.6850 1.3660 1.9038
Mn 0.0476 4.0555 5.7006
Fe -2.5816 1.3498 5.6816
Fe 0.0558 4.0717 1.8849
O -1.9276 1.2658 3.7627
O -4.5650 4.1558 7.5595
O 2.2792 1.6017 0.0255
O -0.3583 3.8198 3.8222
O 1.0946 0.2828 2.3281
O -1.5429 5.1387 6.1249
O -1.1759 2.6272 6.1199
O 1.4615 2.7943 2.3231
O 1.0641 0.2450 5.2587
O 3.7016 5.1765 1.4620
O 4.0767 2.6318 1.4834
O 1.4392 2.7897 5.2802
! Space-group type: Pc
! Final energy in eV per atom: -6.923